[1]
First-principles (PBE) data for ZrCdMo after structural relaxation, as listed in the Alexandria database.

Calculated values
* calculated total energy: -6.539 eV per atom
* ΔE to the lowest computed polymorph: 0.15 eV per formula unit
* formation enthalpy at 0 K: 0.226 eV per atom

Geometry as POSCAR:
```
ZrCdMo
1.0
-3.0469 -4.4807 -5.0499
-3.8670 -6.1462 -1.4604
1.7383 6.3714 3.3534
Cd Mo Zr
1 1 1
Direct
0.9940 0.9940 0.0000 Cd
0.3346 0.3346 0.0000 Mo
0.6715 0.6715 0.0000 Zr
```

[2]
First-principles (PBE) data for ZrCd2Mo after structural relaxation, as listed in the Alexandria database.

Calculated values
* calculated total energy: -5.176 eV per atom
* ΔE to the lowest computed polymorph: 0.02 eV per formula unit
* formation enthalpy at 0 K: 0.127 eV per atom

Geometry as POSCAR:
```
ZrCd2Mo
1.0
5.4942 0.0083 0.0000
2.4604 4.9124 0.0000
-3.9773 -2.4604 2.8833
Cd Mo Zr
2 1 1
Direct
0.0000 0.0000 0.0000 Cd
0.5000 0.5000 0.0000 Cd
0.2500 0.7500 0.5000 Mo
0.7500 0.2500 0.5000 Zr
```

[3]
First-principles (PBE) data for ZrCd2Mo after structural relaxation, as listed in the Alexandria database.

Calculated values
* calculated total energy: -5.089 eV per atom
* ΔE to the lowest computed polymorph: 0.36 eV per formula unit
* formation enthalpy at 0 K: 0.213 eV per atom

Geometry as POSCAR:
```
ZrCd2Mo
1.0
-1.5706 -1.7153 1.6807
1.7875 0.4913 2.1903
-5.2532 7.3875 2.6302
Cd Mo Zr
2 1 1
Direct
0.0000 0.0000 0.0132 Cd
0.0000 0.0000 0.4868 Cd
0.5000 0.5000 0.2500 Mo
0.5000 0.5000 0.7500 Zr
```